# LaSmP, relaxed, DFT PBE-GGA
# Calculated volume   32.2 A^3/atom
# DFT formation energy   -0.95 eV per atom
# DOS(E_F)   1.103 states/eV per atom
data_LaSmP
_chemical_formula_sum 'La1 Sm1 P1'
_symmetry_space_group_name_H-M 'P 1'
_symmetry_Int_Tables_number 1
_symmetry_space_group_name_Hall 'P 1'
_cell_length_a 4.041
_cell_length_b 4.041
_cell_length_c 6.837
_cell_angle_alpha 90.00
_cell_angle_beta 90.00
_cell_angle_gamma 120.00
loop_
_atom_site_label
_atom_site_fract_x
_atom_site_fract_y
_atom_site_fract_z
La1 0.000 0.000 0.000
Sm1 0.667 0.333 0.520
P1 0.333 0.667 0.750


# La2SmP3, relaxed, DFT PBE-GGA
# Calculated volume   26.6 A^3/atom
# DFT formation energy   -1.56 eV per atom
# DOS(E_F)   0.163 states/eV per atom
data_La2SmP3
_chemical_formula_sum 'La2 Sm1 P3'
_symmetry_space_group_name_H-M 'P 1'
_symmetry_Int_Tables_number 1
_symmetry_space_group_name_Hall 'P 1'
_cell_length_a 9.438
_cell_length_b 9.438
_cell_length_c 9.438
_cell_angle_alpha 154.13
_cell_angle_beta 154.13
_cell_angle_gamma 36.91
loop_
_atom_site_label
_atom_site_fract_x
_atom_site_fract_y
_atom_site_fract_z
La1 0.165 0.165 0.000
La2 0.835 0.835 0.000
Sm1 0.500 0.500 0.000
P1 0.000 0.000 0.000
P2 0.336 0.336 0.000
P3 0.664 0.664 0.000


# LaSm2P, relaxed, DFT PBE-GGA
# Calculated volume   31.7 A^3/atom
# DFT formation energy   -0.69 eV per atom
# DOS(E_F)   0.842 states/eV per atom
data_LaSm2P
_chemical_formula_sum 'La1 Sm2 P1'
_symmetry_space_group_name_H-M 'P 1'
_symmetry_Int_Tables_number 1
_symmetry_space_group_name_Hall 'P 1'
_cell_length_a 9.821
_cell_length_b 9.821
_cell_length_c 9.821
_cell_angle_alpha 22.97
_cell_angle_beta 22.97
_cell_angle_gamma 22.97
loop_
_atom_site_label
_atom_site_fract_x
_atom_site_fract_y
_atom_site_fract_z
La1 0.000 0.000 0.000
Sm1 0.225 0.225 0.225
Sm2 0.775 0.775 0.775
P1 0.500 0.500 0.500


# La2SmP, relaxed, DFT PBE-GGA
# Calculated volume   34.7 A^3/atom
# DFT formation energy   -0.53 eV per atom
# Distance to the lowest polymorph of the same formula   3.08 kcal/mol of atoms
# DOS(E_F)   1.197 states/eV per atom
data_La2SmP
_chemical_formula_sum 'La2 Sm1 P1'
_symmetry_space_group_name_H-M 'P 1'
_symmetry_Int_Tables_number 1
_symmetry_space_group_name_Hall 'P 1'
_cell_length_a 10.668
_cell_length_b 10.668
_cell_length_c 10.668
_cell_angle_alpha 21.17
_cell_angle_beta 21.17
_cell_angle_gamma 21.17
loop_
_atom_site_label
_atom_site_fract_x
_atom_site_fract_y
_atom_site_fract_z
La1 0.111 0.111 0.111
La2 0.889 0.889 0.889
Sm1 0.000 0.000 0.000
P1 0.500 0.500 0.500